(1)
The following is a DFT calculation (PBE-GGA) of crystalline In2SnRh2 at its relaxed geometry.

Cell: 4.5008 4.5008 5.6043 Å, 90.00 90.00 120.00°
Last column: nearest neighbours and their distance in Å.
Space group P-3m1 (No. 164)
Inequivalent atoms, fractional coordinates:
In1 0.3333 0.6667 0.1391 x2  5 Rh 2.78-2.87, 3 In 3.03
Sn1 0.0000 0.0000 0.5000 x1  6 Rh 2.72
Rh1 0.3333 0.6667 0.6435 x2  3 Sn 2.72, 5 In 2.78-2.87

Formation energy ... -0.41 eV per atom
D(E_F) ... 1.78 states/eV/cell

(2)
The following is a DFT calculation (PBE-GGA) of crystalline Ac2Tb3Pt4 at its relaxed geometry.

Cell: 7.7447 7.8039 8.1388 Å, 90.00 109.21 90.00°
Last column: nearest neighbours and their distance in Å.
Space group P2_1/c (No. 14)
Inequivalent atoms, fractional coordinates:
Ac1 0.1981 0.1752 0.0853 x4  6 Pt 3.11-3.35
Tb1 0.2485 0.6621 0.2494 x4  6 Pt 2.91-3.06
Tb2 0.5000 0.0000 0.5000 x2  6 Pt 2.98-3.22
Pt1 0.0957 0.5423 0.8705 x4  4 Tb 2.91-3.06, 1 Pt 3.02, 1 Ac 3.18
Pt2 0.4972 0.6354 0.6250 x4  5 Tb 2.92-3.22, 1 Pt 2.94, 1 Ac 3.11

Formation energy ... -1.15 eV per atom
D(E_F) ... 10.98 states/eV/cell

- Look up the D(E_F) of the first one.
  1.78 states/eV/cell

- Which value of D(E_F) does entry 2 give?
  10.98 states/eV/cell

Please write out number 2 again, unchanged.
The following is a DFT calculation (PBE-GGA) of crystalline Ac2Tb3Pt4 at its relaxed geometry.

Cell: 7.7447 7.8039 8.1388 Å, 90.00 109.21 90.00°
Last column: nearest neighbours and their distance in Å.
Space group P2_1/c (No. 14)
Inequivalent atoms, fractional coordinates:
Ac1 0.1981 0.1752 0.0853 x4  6 Pt 3.11-3.35
Tb1 0.2485 0.6621 0.2494 x4  6 Pt 2.91-3.06
Tb2 0.5000 0.0000 0.5000 x2  6 Pt 2.98-3.22
Pt1 0.0957 0.5423 0.8705 x4  4 Tb 2.91-3.06, 1 Pt 3.02, 1 Ac 3.18
Pt2 0.4972 0.6354 0.6250 x4  5 Tb 2.92-3.22, 1 Pt 2.94, 1 Ac 3.11

Formation energy ... -1.15 eV per atom
D(E_F) ... 10.98 states/eV/cell

- Number 2 is which compound?
  Ac2Tb3Pt4